No. 1
The following is a PBE calculation of a geometry-optimized Pr2Zn16Ag structure, from the Alexandria database.

- E_tot (eV per atom) = -1.979
- E_form (meV/atom) = -253
- space-group type = R3m
- magnetic moment (μB/f.u.) = 0.000
- crystal system = trigonal
- N(E_F) (states/eV per cell) = 6.11

Geometry as extended XYZ:
```
19
Lattice="6.8351 0.0452 0.8209 0.7335 6.7958 0.8209 0.0500 0.0452 6.8841" Properties=species:S:1:pos:R:3 pbc="T T T"
Zn 7.3651 4.8627 3.4122
Zn 2.7016 2.4418 6.3411
Zn 4.5851 1.1497 5.1311
Zn 2.5656 4.8627 7.7010
Zn 5.0964 2.0626 7.7010
Zn 3.4043 0.0251 0.4117
Ag 6.8736 6.2128 7.6921
Zn 1.6058 4.4460 5.1311
Zn 0.3679 3.3844 0.4117
Zn 0.7924 0.7162 0.8867
Pr 2.5691 2.3221 2.8750
Zn 4.9189 4.4460 2.1705
Zn 3.0337 5.7220 3.3950
Zn 5.9985 2.4418 3.3950
Zn 0.0278 0.0251 3.4290
Zn 7.0816 2.0626 5.9271
Zn 2.7656 6.8377 5.9271
Zn 5.5799 6.8377 3.4122
Pr 5.0442 4.5593 5.6449
```

No. 2
The following is a PBE calculation of a geometry-optimized Pr2Zn5Ag12 structure, from the Alexandria database.

- E_tot (eV per atom) = -2.760
- E_form (meV/atom) = -121
- space-group type = R-3m
- magnetic moment (μB/f.u.) = 0.000
- crystal system = trigonal
- N(E_F) (states/eV per cell) = 11.38

Geometry as extended XYZ:
```
19
Lattice="7.1605 0.1569 0.7727 0.7104 7.1269 0.7727 0.1695 0.1569 7.2001" Properties=species:S:1:pos:R:3 pbc="T T T"
Pr 5.2506 4.8589 5.7110
Ag 5.2184 2.2555 0.7727
Ag 2.8459 2.6336 6.7007
Ag 3.1239 6.2154 3.3978
Zn 0.3552 3.5635 0.3864
Ag 5.0556 0.1569 2.7079
Pr 2.7899 2.5818 3.0345
Ag 2.2745 0.1569 5.2648
Ag 0.3324 2.2555 5.2648
Ag 5.1945 4.8070 2.0448
Ag 6.4384 2.6336 3.3978
Ag 2.6525 5.0283 0.7727
Zn 0.7948 0.7356 0.8645
Ag 4.9166 1.2253 5.3477
Zn 0.0848 0.0784 3.6000
Zn 3.5803 0.0784 0.3864
Ag 1.6020 4.8070 5.3477
Ag 0.5475 5.0283 2.7079
Zn 7.2456 6.7051 7.8809
```